Density functional theory data (PBE) for a relaxed Tb2TmSc3 crystal.

Geometry as POSCAR:
```
Tb2TmSc3
1.0
5.949 0.000 0.000
0.000 3.433 0.000
-1.986 0.000 16.360
Tb Tm Sc
4 2 6
Direct
0.029 0.250 0.334
0.250 0.250 0.000
0.750 0.750 0.000
0.971 0.750 0.666
0.473 0.250 0.666
0.527 0.750 0.334
0.140 0.750 0.168
0.252 0.750 0.501
0.361 0.750 0.832
0.639 0.250 0.168
0.748 0.250 0.499
0.860 0.250 0.832
```

Symmetry   P2_1/m (11)
Energy relative to the lowest polymorph listed for this composition   0.0 meV/atom
Calculated formation energy   0.054 eV per atom
Raw total energy   -64.8 eV per cell
M_tot   0.0000 μB/atom
Fermi-level density of states   9.6 states/eV/f.u.


Density functional theory data (PBE) for a relaxed TlHg2Br5 crystal.

Geometry as POSCAR:
```
TlHg2Br5
1.0
3.296 -6.244 0.000
3.296 6.244 0.000
0.000 0.000 15.137
Tl Hg Br
2 4 10
Direct
0.231 0.769 0.750
0.769 0.231 0.250
0.164 0.836 0.066
0.164 0.836 0.434
0.836 0.164 0.566
0.836 0.164 0.934
0.026 0.974 0.623
0.026 0.974 0.877
0.262 0.738 0.250
0.333 0.667 0.529
0.333 0.667 0.971
0.667 0.333 0.029
0.667 0.333 0.471
0.738 0.262 0.750
0.974 0.026 0.123
0.974 0.026 0.377
```

Formation energy from raw total energies   -4.05 eV per formula unit
Symmetry   Cmcm (63)
Raw total energy   -30.8 eV per cell
M_tot   0.0000 μB/atom
Fermi-level density of states   0.0 states/eV/f.u.


Density functional theory data (PBE) for a relaxed KNaIrCl6 crystal.

Geometry as POSCAR:
```
KNaIrCl6
1.0
6.912 0.000 0.000
-3.456 5.986 0.000
0.000 0.000 12.998
K Na Ir Cl
2 2 2 12
Direct
0.000 0.000 0.000
0.000 0.000 0.500
0.333 0.667 0.250
0.667 0.333 0.750
0.333 0.667 0.750
0.667 0.333 0.250
0.052 0.395 0.645
0.052 0.657 0.855
0.343 0.395 0.855
0.343 0.948 0.645
0.395 0.052 0.145
0.395 0.343 0.355
0.605 0.657 0.645
0.605 0.948 0.855
0.657 0.052 0.355
0.657 0.605 0.145
0.948 0.343 0.145
0.948 0.605 0.355
```

Formation energy from raw total energies   -9.76 eV per formula unit
Symmetry   P-31c (163)
Raw total energy   -64.2 eV per cell
M_tot   0.1195 μB/atom
Fermi-level density of states   9.1 states/eV/f.u.


Density functional theory data (PBE) for a relaxed H5OsPb2 crystal.

Geometry as POSCAR:
```
H5OsPb2
1.0
5.243 0.000 0.000
2.616 4.580 0.000
2.610 1.206 4.425
H Os Pb
5 1 2
Direct
0.000 0.000 0.000
0.004 0.003 0.469
0.240 0.499 0.501
0.472 0.533 0.997
0.476 0.001 0.001
0.238 0.804 0.198
0.506 0.952 0.514
0.969 0.487 0.050
```

Symmetry   P1 (1)
Raw total energy   -34.0 eV per cell
M_tot   0.0000 μB/atom
Fermi-level density of states   0.9 states/eV/f.u.


Density functional theory data (PBE) for a relaxed CsTmAgCl5 crystal.

Geometry as POSCAR:
```
CsTmAgCl5
1.0
4.490 -6.326 0.000
4.490 6.326 0.000
-3.513 0.000 9.490
Cs Tm Ag Cl
2 2 2 10
Direct
0.161 0.839 0.750
0.839 0.161 0.250
0.500 0.500 0.000
0.500 0.500 0.500
0.187 0.813 0.250
0.813 0.187 0.750
0.145 0.265 0.933
0.217 0.600 0.416
0.265 0.145 0.433
0.400 0.783 0.084
0.442 0.558 0.750
0.558 0.442 0.250
0.600 0.217 0.916
0.735 0.855 0.567
0.783 0.400 0.584
0.855 0.735 0.067
```

Formation energy from raw total energies   -14.27 eV per formula unit
Symmetry   C2/c (15)
Raw total energy   -63.4 eV per cell
M_tot   0.0000 μB/atom
Fermi-level density of states   0.0 states/eV/f.u.


Density functional theory data (PBE) for a relaxed AcSnI6 crystal.

Geometry as POSCAR:
```
AcSnI6
1.0
3.897 2.250 7.150
-3.897 2.250 7.150
0.000 -4.499 7.150
Ac Sn I
1 1 6
Direct
0.000 0.000 0.000
0.500 0.500 0.500
0.088 0.737 0.434
0.263 0.566 0.912
0.434 0.088 0.737
0.566 0.912 0.263
0.737 0.434 0.088
0.912 0.263 0.566
```

Formation energy from raw total energies   -6.95 eV per formula unit
Symmetry   R-3 (148)
Raw total energy   -24.4 eV per cell
M_tot   0.0000 μB/atom
Fermi-level density of states   6.3 states/eV/f.u.


Density functional theory data (PBE) for a relaxed SmMg2Sc4 crystal.

Geometry as POSCAR:
```
SmMg2Sc4
1.0
4.857 0.000 0.000
0.000 22.419 0.000
0.000 0.000 3.264
Sm Mg Sc
2 4 8
Direct
0.000 0.000 0.000
0.500 0.500 0.000
0.000 0.286 0.500
0.000 0.714 0.500
0.500 0.214 0.500
0.500 0.786 0.500
0.000 0.151 0.000
0.000 0.424 0.500
0.000 0.576 0.500
0.000 0.849 0.000
0.500 0.076 0.500
0.500 0.349 0.000
0.500 0.651 0.000
0.500 0.924 0.500
```

Symmetry   Cmmm (65)
Calculated formation energy   0.039 eV per atom
Raw total energy   -65.9 eV per cell
M_tot   0.0000 μB/atom
Fermi-level density of states   9.5 states/eV/f.u.


Density functional theory data (PBE) for a relaxed Ho2PaAl2Ru5 crystal.

Geometry as POSCAR:
```
Ho2PaAl2Ru5
1.0
10.132 0.000 0.000
0.000 10.132 0.000
0.000 0.000 3.421
Ho Pa Al Ru
4 2 4 10
Direct
0.170 0.330 0.000
0.330 0.830 0.000
0.670 0.170 0.000
0.830 0.670 0.000
0.000 0.000 0.000
0.500 0.500 0.000
0.126 0.626 0.000
0.374 0.126 0.000
0.626 0.874 0.000
0.874 0.374 0.000
0.000 0.500 0.500
0.070 0.798 0.500
0.202 0.070 0.500
0.298 0.570 0.500
0.430 0.298 0.500
0.500 0.000 0.500
0.570 0.702 0.500
0.702 0.430 0.500
0.798 0.930 0.500
0.930 0.202 0.500
```

Symmetry   P4/mbm (127)
Calculated formation energy   -0.581 eV per atom
Raw total energy   -156.6 eV per cell
M_tot   0.0000 μB/atom
Fermi-level density of states   6.0 states/eV/f.u.


Question: Which of these has the lowest raw total energy?
Answer: Ho2PaAl2Ru5


Question: What is the raw total energy in the seventh record?
Answer: -65.9 eV per cell


Question: Look up the raw total energy of the first one.
Answer: -64.8 eV per cell